Entry 1:
VASP calculation (PBE) on a geometry-optimized Sr2YSc structure.

```
Sr2YSc
1.0
6.700 0.005 0.000
2.573 6.187 0.000
-4.637 -3.096 3.716
Sr Sc Y
2 1 1
direct
0.000 0.000 0.000 Sr
0.500 0.500 0.000 Sr
0.750 0.250 0.500 Sc
0.250 0.750 0.500 Y
```

Summary:
ΔE to the lowest computed polymorph = 188.6 meV per atom
crystal system = tetragonal
raw total energy = -3.700 eV/atom

Entry 2:
VASP calculation (PBE) on a geometry-optimized KNi2Sb structure.

```
KNi2Sb
1.0
4.986 -0.016 -0.009
0.009 4.986 0.009
-1.935 -3.050 3.437
Ni K Sb
2 1 1
direct
0.572 0.572 0.000 Ni
0.928 0.928 0.000 Ni
0.250 0.750 0.500 K
0.750 0.250 0.500 Sb
```

Summary:
crystal system = orthorhombic
energy relative to the elements, uncorrected = 397 meV per atom
raw total energy = -3.798 eV/atom

Entry 3:
VASP calculation (PBE) on a geometry-optimized Tl2CoBr structure.

```
Tl2CoBr
1.0
3.881 0.000 0.000
0.000 5.992 -0.158
0.000 3.855 4.591
Br Tl Co
1 2 1
direct
0.000 0.592 0.592 Br
0.000 0.907 0.908 Tl
0.500 0.264 0.264 Tl
0.500 0.737 0.737 Co
```

Summary:
ΔE to the lowest computed polymorph = 0.0 meV per atom
crystal system = orthorhombic
energy relative to the elements, uncorrected = 135 meV per atom
raw total energy = -3.243 eV/atom

Entry 4:
VASP calculation (PBE) on a geometry-optimized Ho4CdRu structure.

```
Ho4CdRu
1.0
8.290 0.000 4.786
2.763 7.816 4.786
0.000 0.000 9.572
Ho Cd Ru
16 4 4
direct
0.561 0.939 0.939 Ho
0.811 0.811 0.189 Ho
0.939 0.939 0.561 Ho
0.404 0.404 0.789 Ho
0.811 0.189 0.811 Ho
0.404 0.789 0.404 Ho
0.189 0.811 0.811 Ho
0.939 0.561 0.561 Ho
0.189 0.189 0.811 Ho
0.811 0.189 0.189 Ho
0.189 0.811 0.189 Ho
0.404 0.404 0.404 Ho
0.561 0.939 0.561 Ho
0.939 0.561 0.939 Ho
0.789 0.404 0.404 Ho
0.561 0.561 0.939 Ho
0.169 0.169 0.169 Cd
0.169 0.492 0.169 Cd
0.492 0.169 0.169 Cd
0.169 0.169 0.492 Cd
0.611 0.611 0.611 Ru
0.168 0.611 0.611 Ru
0.611 0.611 0.168 Ru
0.611 0.168 0.611 Ru
```

Summary:
ΔE to the lowest computed polymorph = 0.0 meV per atom
crystal system = cubic
raw total energy = -5.095 eV/atom

Entry 5:
VASP calculation (PBE) on a geometry-optimized NdPRuO structure.

```
NdPRuO
1.0
-2.234 3.364 -0.335
0.244 -0.240 -4.038
-6.881 -4.584 -0.143
O Ru Nd P
2 2 2 2
direct
0.500 0.500 0.500 O
0.000 0.000 0.500 O
0.000 0.000 0.000 Ru
0.500 0.500 0.000 Ru
0.000 0.500 0.358 Nd
0.500 0.000 0.642 Nd
0.000 0.500 0.859 P
0.500 0.000 0.141 P
```

Summary:
crystal system = tetragonal
energy relative to the elements, uncorrected = -1993 meV per atom
raw total energy = -8.096 eV/atom

Entry 6:
VASP calculation (PBE) on a geometry-optimized NbPtSe2N structure.

```
NbPtSe2N
1.0
5.178 0.000 0.000
0.000 5.178 0.000
0.000 0.000 3.660
Pt Nb Se N
1 1 2 1
direct
0.000 0.000 0.000 Pt
0.500 0.500 0.500 Nb
0.000 0.500 0.000 Se
0.500 0.000 0.000 Se
0.000 0.000 0.500 N
```

Summary:
ΔE to the lowest computed polymorph = 207.4 meV per atom
crystal system = tetragonal
energy relative to the elements, uncorrected = 669 meV per atom
raw total energy = -5.612 eV/atom

Entry 7:
VASP calculation (PBE) on a geometry-optimized Li5Cu structure.

```
Li5Cu
1.0
-5.721 -0.536 -0.568
-5.054 -2.317 1.558
-2.657 4.203 4.353
Li Cu
5 1
direct
0.653 0.653 0.721 Li
0.962 0.962 0.599 Li
0.325 0.325 0.340 Li
0.605 0.605 0.226 Li
0.305 0.305 0.935 Li
0.985 0.985 0.013 Cu
```

Summary:
ΔE to the lowest computed polymorph = 1.9 meV per atom
crystal system = monoclinic
raw total energy = -2.267 eV/atom

Entry 8:
VASP calculation (PBE) on a geometry-optimized RbNaTaIr2 structure.

```
RbNaTaIr2
1.0
4.970 0.000 0.000
0.000 4.436 0.000
0.000 0.000 4.970
Ta Na Rb Ir
1 1 1 2
direct
0.500 0.500 0.500 Ta
0.000 0.500 0.000 Na
0.000 0.000 0.000 Rb
0.500 0.000 0.000 Ir
0.000 0.000 0.500 Ir
```

Summary:
crystal system = tetragonal
raw total energy = -3.848 eV/atom

Entry 9:
VASP calculation (PBE) on a geometry-optimized ScInPOs2 structure.

```
ScInPOs2
1.0
4.832 0.000 0.000
0.000 5.089 0.000
0.000 0.000 4.832
P Sc Os In
1 1 2 1
direct
0.500 0.500 0.500 P
0.000 0.500 0.000 Sc
0.500 0.000 0.000 Os
0.000 0.000 0.500 Os
0.000 0.000 0.000 In
```

Summary:
crystal system = tetragonal
raw total energy = -5.271 eV/atom

Entry 10:
VASP calculation (PBE) on a geometry-optimized Er2TmHg2 structure.

```
Er2TmHg2
1.0
3.812 0.000 0.000
0.000 8.359 0.000
0.000 0.000 8.359
Hg Er Tm
4 4 2
direct
0.000 0.867 0.633 Hg
0.000 0.133 0.367 Hg
0.000 0.633 0.133 Hg
0.000 0.367 0.867 Hg
0.500 0.334 0.166 Er
0.500 0.834 0.334 Er
0.500 0.166 0.666 Er
0.500 0.666 0.834 Er
0.000 0.000 0.000 Tm
0.000 0.500 0.500 Tm
```

Summary:
crystal system = tetragonal
raw total energy = -3.224 eV/atom

Entry 11:
VASP calculation (PBE) on a geometry-optimized PrCd7Cu5 structure.

```
PrCd7Cu5
1.0
-3.086 -1.332 -4.122
-3.375 -6.326 1.140
-6.735 2.600 0.770
Cd Pr Cu
7 1 5
direct
0.279 0.221 0.221 Cd
0.502 0.791 0.205 Cd
0.346 0.654 0.654 Cd
0.993 0.353 0.662 Cd
0.502 0.205 0.791 Cd
0.663 0.337 0.337 Cd
0.993 0.662 0.353 Cd
0.012 0.988 0.988 Pr
0.497 0.513 0.992 Cu
0.497 0.992 0.513 Cu
0.997 0.513 0.992 Cu
0.997 0.992 0.513 Cu
0.721 0.779 0.779 Cu
```

Summary:
crystal system = orthorhombic
raw total energy = -2.518 eV/atom

Entry 12:
VASP calculation (PBE) on a geometry-optimized ReAg2 structure.

```
ReAg2
1.0
10.121 -9.201 -4.172
10.876 -9.275 -0.456
-11.716 7.800 2.533
Ag Re
4 2
direct
0.580 0.580 0.000 Ag
0.170 0.670 0.500 Ag
0.420 0.420 0.000 Ag
0.330 0.830 0.500 Ag
0.750 0.250 0.500 Re
0.000 0.000 0.000 Re
```

Summary:
ΔE to the lowest computed polymorph = 203.5 meV per atom
crystal system = tetragonal
raw total energy = -5.429 eV/atom

Entry 13:
VASP calculation (PBE) on a geometry-optimized RbCaHoO3 structure.

```
RbCaHoO3
1.0
3.478 0.000 0.000
0.000 7.647 0.943
0.000 -1.893 9.862
O Ca Rb Ho
6 2 2 2
direct
0.250 0.250 0.790 O
0.750 0.396 0.086 O
0.750 0.750 0.210 O
0.750 0.138 0.431 O
0.250 0.604 0.914 O
0.250 0.862 0.569 O
0.750 0.842 0.435 Ca
0.250 0.158 0.565 Ca
0.250 0.128 0.204 Rb
0.750 0.872 0.796 Rb
0.250 0.599 0.126 Ho
0.750 0.401 0.874 Ho
```

Summary:
crystal system = monoclinic
energy relative to the elements, uncorrected = -2582 meV per atom
raw total energy = -6.319 eV/atom

Entry 14:
VASP calculation (PBE) on a geometry-optimized SmTa2ReC4 structure.

```
SmTa2ReC4
1.0
-2.385 -1.096 -1.968
4.599 -3.700 -0.779
-3.838 -6.514 8.278
Ta Sm C Re
4 2 8 2
direct
0.628 0.256 0.036 Ta
0.372 0.744 0.964 Ta
0.372 0.744 0.536 Ta
0.628 0.256 0.464 Ta
0.895 0.790 0.250 Sm
0.105 0.210 0.750 Sm
0.439 0.877 0.750 C
0.263 0.526 0.388 C
0.737 0.474 0.612 C
0.000 0.000 0.000 C
0.561 0.123 0.250 C
0.000 0.000 0.500 C
0.737 0.474 0.888 C
0.263 0.526 0.112 C
0.159 0.318 0.250 Re
0.841 0.682 0.750 Re
```

Summary:
crystal system = orthorhombic
raw total energy = -9.943 eV/atom

Entry 15:
VASP calculation (PBE) on a geometry-optimized NaLa3Os structure.

```
NaLa3Os
1.0
18.356 0.000 -1.651
7.960 4.866 -4.616
-7.960 4.866 4.616
La Na Os
12 4 4
direct
0.908 0.089 0.264 La
0.092 0.911 0.736 La
0.588 0.419 0.239 La
0.814 0.816 0.193 La
0.686 0.693 0.316 La
0.408 0.236 0.411 La
0.412 0.581 0.761 La
0.088 0.261 0.081 La
0.592 0.764 0.589 La
0.314 0.307 0.684 La
0.186 0.184 0.807 La
0.912 0.739 0.919 La
0.250 0.571 0.071 Na
0.750 0.429 0.929 Na
0.750 0.091 0.591 Na
0.250 0.909 0.409 Na
0.617 0.119 0.886 Os
0.383 0.881 0.114 Os
0.117 0.614 0.381 Os
0.883 0.386 0.619 Os
```

Summary:
ΔE to the lowest computed polymorph = 60.1 meV per atom
crystal system = monoclinic
raw total energy = -5.496 eV/atom

Entry 16:
VASP calculation (PBE) on a geometry-optimized BaYMgO2 structure.

```
BaYMgO2
1.0
-2.937 2.877 -1.171
1.132 -0.905 -5.063
-2.967 -3.075 -0.114
O Ba Mg Y
2 1 1 1
direct
0.500 0.000 0.000 O
0.000 0.000 0.500 O
0.000 0.500 0.000 Ba
0.000 0.000 0.000 Mg
0.500 0.500 0.500 Y
```

Summary:
crystal system = tetragonal
energy relative to the elements, uncorrected = -246 meV per atom
raw total energy = -4.226 eV/atom

Entry 17:
VASP calculation (PBE) on a geometry-optimized YTeSe structure.

```
YTeSe
1.0
-2.023 4.423 1.397
-4.683 0.149 1.911
-0.700 1.025 4.906
Se Y Te
1 1 1
direct
0.000 0.000 0.000 Se
0.250 0.250 0.250 Y
0.500 0.500 0.500 Te
```

Summary:
ΔE to the lowest computed polymorph = 308.6 meV per atom
crystal system = cubic
energy relative to the elements, uncorrected = -1107 meV per atom
raw total energy = -5.470 eV/atom

Entry 18:
VASP calculation (PBE) on a geometry-optimized Ba2In3Hg4 structure.

```
Ba2In3Hg4
1.0
-0.608 -5.732 -3.075
2.674 -4.434 7.737
-8.236 2.348 4.192
Ba Hg In
4 8 6
direct
0.612 0.911 0.225 Ba
0.888 0.411 0.775 Ba
0.112 0.589 0.225 Ba
0.388 0.089 0.775 Ba
0.199 0.750 0.898 Hg
0.699 0.750 0.898 Hg
0.818 0.033 0.636 Hg
0.301 0.250 0.102 Hg
0.682 0.533 0.364 Hg
0.801 0.250 0.102 Hg
0.182 0.967 0.364 Hg
0.318 0.467 0.636 Hg
0.000 0.000 0.000 In
0.500 0.500 0.000 In
0.965 0.250 0.430 In
0.035 0.750 0.570 In
0.465 0.250 0.430 In
0.535 0.750 0.570 In
```

Summary:
ΔE to the lowest computed polymorph = 26.2 meV per atom
crystal system = orthorhombic
raw total energy = -1.832 eV/atom

Entry 19:
VASP calculation (PBE) on a geometry-optimized AlCuSi6 structure.

```
AlCuSi6
1.0
4.964 0.000 0.000
0.000 4.964 0.000
0.000 0.000 5.013
Si Cu Al
6 1 1
direct
0.500 0.000 0.252 Si
0.500 0.500 0.752 Si
0.500 0.500 0.248 Si
0.500 0.000 0.748 Si
0.000 0.500 0.252 Si
0.000 0.500 0.748 Si
0.000 0.000 0.500 Cu
0.000 0.000 0.000 Al
```

Summary:
ΔE to the lowest computed polymorph = 0.0 meV per atom
crystal system = tetragonal
energy relative to the elements, uncorrected = 245 meV per atom
raw total energy = -4.802 eV/atom

Entry 20:
VASP calculation (PBE) on a geometry-optimized SrZnCu2C structure.

```
SrZnCu2C
1.0
4.666 0.000 0.000
0.000 4.103 0.000
0.000 0.000 4.666
Zn C Cu Sr
1 1 2 1
direct
0.000 0.000 0.000 Zn
0.000 0.500 0.000 C
0.500 0.000 0.000 Cu
0.000 0.000 0.500 Cu
0.500 0.500 0.500 Sr
```

Summary:
crystal system = tetragonal
raw total energy = -3.259 eV/atom

Entry 21:
VASP calculation (PBE) on a geometry-optimized La6PmGa2 structure.

```
La6PmGa2
1.0
3.810 0.000 0.605
1.670 6.406 1.785
0.062 0.009 11.908
La Ga Pm
6 2 1
direct
0.316 0.493 0.876 La
0.032 0.263 0.674 La
0.968 0.737 0.326 La
0.693 0.213 0.401 La
0.307 0.787 0.599 La
0.684 0.507 0.124 La
0.352 0.105 0.190 Ga
0.648 0.895 0.810 Ga
0.000 0.000 0.000 Pm
```

Summary:
crystal system = monoclinic
raw total energy = -4.732 eV/atom

Entry 22:
VASP calculation (PBE) on a geometry-optimized Sr2ReP structure.

```
Sr2ReP
1.0
1.508 3.710 0.009
-1.508 3.710 0.009
0.000 0.960 8.924
Sr Re P
2 1 1
direct
0.243 0.243 0.769 Sr
0.757 0.757 0.231 Sr
0.000 0.000 0.500 Re
0.500 0.500 0.000 P
```

Summary:
crystal system = monoclinic
raw total energy = -4.654 eV/atom

Entry 23:
VASP calculation (PBE) on a geometry-optimized SmGdCoPd structure.

```
SmGdCoPd
1.0
4.930 0.000 0.000
2.465 4.270 0.000
2.465 1.423 4.026
Pd Co Gd Sm
1 1 1 1
direct
0.000 0.000 0.000 Pd
0.500 0.500 0.500 Co
0.250 0.250 0.250 Gd
0.750 0.750 0.750 Sm
```

Summary:
crystal system = cubic
raw total energy = -8.184 eV/atom

Entry 24:
VASP calculation (PBE) on a geometry-optimized CuMo2Os structure.

```
CuMo2Os
1.0
-2.724 -0.025 0.472
0.291 -2.257 1.570
1.034 4.440 6.191
Os Mo Cu
1 2 1
direct
0.500 0.500 0.250 Os
0.000 0.000 0.000 Mo
0.000 0.000 0.500 Mo
0.500 0.500 0.750 Cu
```

Summary:
ΔE to the lowest computed polymorph = 59.9 meV per atom
crystal system = tetragonal
raw total energy = -9.059 eV/atom